No. 1
Here is an optimized crystal structure of CaLa3As from Alexandria via LeMat-Bulk. Energies are from GGA-PBEsol.

Structure (POSCAR):
```
CaLa3As
1.0
5.789 0.000 0.000
0.000 5.789 0.000
0.000 0.000 5.789
Ca La As
1 3 1
Cartesian
0.000 0.000 0.000 Ca
0.000 2.894 2.894 La
2.894 0.000 2.894 La
2.894 2.894 0.000 La
2.894 2.894 2.894 As
```

Computed properties:
Theoretical density   4.552 Mg/m³
Uncorrected energy   -0.185 hartree per atom
Size of the total moment   0.001 μB per atom
Symmetry   Pm-3m
E_form   -386 meV per atom
Fermi-level density of states   1.773 states/eV per atom



No. 2
Here is an optimized crystal structure of CaLaAs2 from Alexandria via LeMat-Bulk. Energies are from GGA-PBEsol.

Structure (POSCAR):
```
CaLaAs2
1.0
11.127 0.000 0.000
0.000 4.102 0.000
-0.501 0.000 4.450
Ca La As
2 2 4
Cartesian
0.000 0.000 0.000 Ca
5.563 2.051 0.000 Ca
2.593 0.000 2.171 La
8.156 2.051 2.171 La
0.062 2.051 2.310 As
2.125 2.051 4.319 As
5.625 0.000 2.310 As
7.688 0.000 4.319 As
```

Computed properties:
Theoretical density   5.376 Mg/m³
Uncorrected energy   -0.204 hartree per atom
Size of the total moment   0.000 μB per atom
Symmetry   Cm
E_form   -1138 meV per atom
Fermi-level density of states   0.517 states/eV per atom



No. 3
Here is an optimized crystal structure of CaLaAsPt2 from Alexandria via LeMat-Bulk. Energies are from GGA-PBEsol.

Structure (POSCAR):
```
CaLaAsPt2
1.0
4.770 0.000 0.000
0.000 4.770 0.000
0.000 0.000 5.750
Ca La As Pt
1 1 1 2
Cartesian
0.000 0.000 0.000 Ca
0.000 0.000 2.875 La
2.385 2.385 2.875 As
0.000 2.385 0.000 Pt
2.385 0.000 0.000 Pt
```

Computed properties:
Theoretical density   8.176 Mg/m³
Uncorrected energy   -0.167 hartree per atom
Size of the total moment   0.000 μB per atom
Symmetry   P4/mmm
E_form   770 meV per atom
Fermi-level density of states   0.473 states/eV per atom



No. 4
Here is an optimized crystal structure of LiCaAs2 from Alexandria via LeMat-Bulk. Energies are from GGA-PBEsol.

Structure (POSCAR):
```
LiCaAs2
1.0
6.098 0.000 0.000
0.000 8.120 0.000
0.000 0.000 3.166
Li Ca As
2 2 4
Cartesian
0.000 0.000 0.000 Li
3.049 4.060 0.000 Li
0.000 4.060 0.000 Ca
3.049 0.000 0.000 Ca
1.525 2.030 1.583 As
1.525 6.090 1.583 As
4.574 2.030 1.583 As
4.574 6.090 1.583 As
```

Computed properties:
Theoretical density   4.170 Mg/m³
Uncorrected energy   -0.155 hartree per atom
Size of the total moment   0.000 μB per atom
Symmetry   Cmmm
E_form   -652 meV per atom
Fermi-level density of states   0.239 states/eV per atom



No. 5
Here is an optimized crystal structure of SrLi2CaAs from Alexandria via LeMat-Bulk. Energies are from GGA-PBEsol.

Structure (POSCAR):
```
SrLi2CaAs
1.0
5.007 0.000 0.000
0.000 5.007 0.000
0.000 0.000 6.540
Sr Li Ca As
1 2 1 1
Cartesian
0.000 0.000 0.000 Sr
0.000 2.504 3.270 Li
2.504 0.000 3.270 Li
0.000 0.000 3.270 Ca
2.504 2.504 0.000 As
```

Computed properties:
Theoretical density   2.193 Mg/m³
Uncorrected energy   -0.069 hartree per atom
Size of the total moment   0.000 μB per atom
Symmetry   P4/mmm
E_form   734 meV per atom
Fermi-level density of states   0.657 states/eV per atom



No. 6
Here is an optimized crystal structure of LiCaTiAs2 from Alexandria via LeMat-Bulk. Energies are from GGA-PBEsol.

Structure (POSCAR):
```
LiCaTiAs2
1.0
4.724 0.000 0.000
0.000 4.724 0.000
0.000 0.000 4.241
Li Ca Ti As
1 1 1 2
Cartesian
0.000 0.000 0.000 Li
0.000 0.000 2.121 Ca
2.362 2.362 2.121 Ti
0.000 2.362 0.000 As
2.362 0.000 0.000 As
```

Computed properties:
Theoretical density   4.293 Mg/m³
Uncorrected energy   -0.160 hartree per atom
Size of the total moment   0.406 μB per atom
Symmetry   P4/mmm
E_form   168 meV per atom
Fermi-level density of states   0.833 states/eV per atom